No. 1
First-principles (PBE) data for crystalline ThPaN at its relaxed geometry, as listed in Alexandria via LeMat-Bulk.

Total energy in eV/atom: -8.0010
Crystal system: tetragonal
DOS(E_F) in states/eV/cell: 5.83

a = 4.6860 Å, b = 4.6860 Å, c = 5.1726 Å
α = 116.93°, β = 116.93°, γ = 90.00°
Last column: magnetic moment on the atom in μB.
Element x y z (fractional)
Pa  0.3586  0.3586  0.7172  0.65
N  0.6103  0.6103  0.2205  -0.01
Th  0.8811  0.8811  0.7622  0.16



No. 2
First-principles (PBE) data for crystalline KZnFe2 at its relaxed geometry, as listed in Alexandria via LeMat-Bulk.

DFT formation energy in eV per atom: 0.758
Crystal system: orthorhombic
DOS(E_F) in states/eV/cell: 2.26

a = 6.0001 Å, b = 6.0001 Å, c = 6.0001 Å
α = 153.23°, β = 124.39°, γ = 62.77°
Last column: magnetic moment on the atom in μB.
Element x y z (fractional)
Fe  0.9859  0.9859  0.0000  2.51
Fe  0.8088  0.3088  0.5000  2.78
K  0.5051  0.5051  0.0000  -0.01
Zn  0.2001  0.7001  0.5000  -0.03



No. 3
First-principles (PBE) data for crystalline Mg2CdBi at its relaxed geometry, as listed in Alexandria via LeMat-Bulk.

DFT formation energy in eV per atom: -0.077
Crystal system: cubic
DOS(E_F) in states/eV/cell: 2.86

a = 5.2267 Å, b = 5.2267 Å, c = 5.2267 Å
α = 60.00°, β = 60.00°, γ = 60.00°
Element x y z (fractional)
Mg  0.2500  0.2500  0.2500
Mg  0.7500  0.7500  0.7500
Cd  0.0000  0.0000  0.0000
Bi  0.5000  0.5000  0.5000



No. 4
First-principles (PBE) data for crystalline TaVReMo at its relaxed geometry, as listed in Alexandria via LeMat-Bulk.

DFT formation energy in eV per atom: -0.266
Crystal system: cubic
DOS(E_F) in states/eV/cell: 2.90

a = 4.4424 Å, b = 4.4424 Å, c = 4.4424 Å
α = 60.00°, β = 60.00°, γ = 60.00°
Element x y z (fractional)
Ta  0.0000  0.0000  0.0000
Mo  0.7500  0.7500  0.7500
Re  0.2500  0.2500  0.2500
V  0.5000  0.5000  0.5000



What is the formula in the fourth record?
TaVReMo



Among the records above, which one has the highest DOS(E_F)?
ThPaN



The highest DOS(E_F) belongs to which entry?
ThPaN